1.
Compound: V2SiNi2
Source: Alexandria via LeMat-Bulk
Functional: GGA-PBE
Structure: relaxed

Results
space-group type	P4/mbm (127)
electronic total energy	-72.18	eV/cell
crystal system	tetragonal
total moment	0.000	μB per atom

Lattice parameters (Å, degrees): 5.984 5.984 3.511 90.00 90.00 90.00
Fractional positions:
V1 0.171 0.329 0.000
V2 0.329 0.829 0.000
V3 0.671 0.171 0.000
V4 0.829 0.671 0.000
Si1 0.000 0.000 0.500
Si2 0.500 0.500 0.500
Ni1 0.137 0.637 0.500
Ni2 0.363 0.137 0.500
Ni3 0.637 0.863 0.500
Ni4 0.863 0.363 0.500



2.
Compound: VSiNi4
Source: Alexandria via LeMat-Bulk
Functional: GGA-PBE
Structure: relaxed

Results
space-group type	Cmmm (65)
electronic total energy	-78.18	eV/cell
offset from the most stable computed form	0.00	kcal/mol of atoms
crystal system	orthorhombic
total moment	0.157	μB per atom

Lattice parameters (Å, degrees): 10.974 10.974 3.654 90.00 90.00 160.78
Fractional positions:
V1 0.207 0.793 0.000
V2 0.793 0.207 0.000
Si1 0.435 0.565 0.500
Si2 0.565 0.435 0.500
Ni1 0.000 0.000 0.500
Ni2 0.127 0.873 0.500
Ni3 0.290 0.710 0.500
Ni4 0.373 0.627 0.000
Ni5 0.500 0.500 0.000
Ni6 0.627 0.373 0.000
Ni7 0.710 0.290 0.500
Ni8 0.873 0.127 0.500